*one*
Material: Y2TaPd
Method: DFT, GGA-PBE
State: relaxed

```
Y2TaPd
1.0
0.000 3.591 3.591
3.591 0.000 3.591
3.591 3.591 0.000
Y Pd Ta
2 1 1
direct
0.250 0.250 0.250 Y
0.750 0.750 0.750 Y
0.000 0.000 0.000 Pd
0.500 0.500 0.500 Ta
```

Computed properties:
Its volume is 92.59 Å³/cell. The symmetry is Fm-3m, No. 225.



*two*
Material: Y2TaPd
Method: DFT, GGA-PBE
State: relaxed

```
Y2TaPd
1.0
-0.799 -5.941 5.220
5.843 -3.979 -3.635
4.565 -3.629 2.620
Y Ta Pd
4 2 2
direct
0.875 0.838 0.750 Y
0.162 0.625 0.250 Y
0.375 0.412 0.750 Y
0.588 0.125 0.250 Y
0.750 0.250 0.500 Ta
0.000 0.000 0.000 Ta
0.500 0.500 0.000 Pd
0.250 0.750 0.500 Pd
```

Computed properties:
Its volume is 192.52 Å³/cell. The symmetry is I-42d, No. 122.



Relative energies, in eV/atom, with the most stable structure set to zero: *one* 0.000; *two* 0.234.



*one*
Material: YTa2Pd
Method: DFT, GGA-PBE
State: relaxed

```
YTa2Pd
1.0
-2.370 -3.494 2.171
-4.205 0.881 2.019
-3.972 -1.733 -1.936
Y Pd Ta
1 1 2
direct
0.000 0.000 0.000 Y
0.500 0.500 0.500 Pd
0.750 0.750 0.750 Ta
0.250 0.250 0.250 Ta
```

Computed properties:
Its volume is 75.63 Å³/cell. The symmetry is Fm-3m, No. 225.



*two*
Material: YTa2Pd
Method: DFT, GGA-PBE
State: relaxed

```
YTa2Pd
1.0
3.924 0.000 0.000
0.000 3.924 0.000
1.962 1.962 10.868
Pd Ta Y
2 4 2
direct
0.000 0.000 0.000 Pd
0.750 0.250 0.500 Pd
0.119 0.625 0.250 Ta
0.375 0.369 0.750 Ta
0.631 0.125 0.250 Ta
0.875 0.881 0.750 Ta
0.500 0.500 0.000 Y
0.250 0.750 0.500 Y
```

Computed properties:
Its volume is 167.32 Å³/cell. The symmetry is I-42d, No. 122.



Relative energies, in eV/atom, with the most stable structure set to zero: *one* 0.087; *two* 0.000.



*one*
Material: Tb2TePd
Method: DFT, GGA-PBE
State: relaxed

```
Tb2TePd
1.0
-2.322 -3.404 0.721
1.675 -3.300 1.949
-2.275 0.541 7.359
Pd Tb Te
1 2 1
direct
0.666 0.666 0.001 Pd
0.263 0.263 0.210 Tb
0.070 0.070 0.789 Tb
0.500 0.500 0.501 Te
```

Computed properties:
Its volume is 111.15 Å³/cell. The symmetry is R3m, No. 160.



*two*
Material: Tb2TePd
Method: DFT, GGA-PBE
State: relaxed

```
Tb2TePd
1.0
3.735 0.000 0.000
0.000 3.735 0.000
0.000 0.000 7.105
Te Tb Pd
1 2 1
direct
0.500 0.500 0.500 Te
0.000 0.000 0.768 Tb
0.000 0.000 0.232 Tb
0.500 0.500 0.000 Pd
```

Computed properties:
Its volume is 99.10 Å³/cell. The symmetry is P4/mmm, No. 123.



*three*
Material: Tb2TePd
Method: DFT, GGA-PBE
State: relaxed

```
Tb2TePd
1.0
4.541 0.000 0.000
0.000 3.947 -0.701
0.000 0.049 11.739
Tb Te Pd
4 2 2
direct
0.250 0.058 0.116 Tb
0.750 0.942 0.884 Tb
0.250 0.334 0.669 Tb
0.750 0.666 0.331 Tb
0.750 0.805 0.611 Te
0.250 0.195 0.389 Te
0.250 0.460 0.920 Pd
0.750 0.540 0.080 Pd
```

Computed properties:
Its volume is 210.61 Å³/cell. The symmetry is Cmcm, No. 63.



Relative energies, in eV/atom, with the most stable structure set to zero: *one* 0.023; *two* 0.152; *three* 0.000.



*one*
Material: TbTh2Pd
Method: DFT, GGA-PBE
State: relaxed

```
TbTh2Pd
1.0
3.722 0.000 0.000
1.861 3.223 0.000
1.861 1.074 9.789
Pd Th Tb
1 2 1
direct
0.000 0.000 0.000 Pd
0.263 0.263 0.210 Th
0.737 0.737 0.790 Th
0.500 0.500 0.500 Tb
```

Computed properties:
Its volume is 117.42 Å³/cell. The symmetry is R-3m, No. 166.



*two*
Material: TbTh2Pd
Method: DFT, GGA-PBE
State: relaxed

```
TbTh2Pd
1.0
-2.528 -1.816 -1.950
-1.729 -0.927 3.105
-4.621 6.962 -0.495
Tb Th Pd
1 2 1
direct
0.500 0.500 0.500 Tb
0.000 0.000 0.791 Th
0.000 0.000 0.209 Th
0.500 0.500 0.000 Pd
```

Computed properties:
Its volume is 112.94 Å³/cell. The symmetry is P4/mmm, No. 123.



*three*
Material: TbTh2Pd
Method: DFT, GGA-PBE
State: relaxed

```
TbTh2Pd
1.0
3.728 0.000 0.000
-1.864 5.902 0.000
0.000 0.000 10.325
Tb Th Pd
2 4 2
direct
0.081 0.163 0.750 Tb
0.919 0.837 0.250 Tb
0.635 0.270 0.050 Th
0.365 0.730 0.550 Th
0.635 0.270 0.450 Th
0.365 0.730 0.950 Th
0.781 0.563 0.750 Pd
0.219 0.437 0.250 Pd
```

Computed properties:
Its volume is 227.21 Å³/cell. The symmetry is Cmcm, No. 63.



Relative energies, in eV/atom, with the most stable structure set to zero: *one* 0.176; *two* 0.116; *three* 0.000.



*one*
Material: TbTlPd
Method: DFT, GGA-PBE
State: relaxed

```
TbTlPd
1.0
-0.907 1.968 -4.243
-4.294 1.861 -0.893
-0.519 4.721 -0.375
Tb Tl Pd
1 1 1
direct
0.000 0.000 0.000 Tb
0.500 0.500 0.500 Tl
0.250 0.250 0.250 Pd
```

Computed properties:
Its volume is 76.47 Å³/cell. The symmetry is F-43m, No. 216.



*two*
Material: TbTlPd
Method: DFT, GGA-PBE
State: relaxed

```
TbTlPd
1.0
-1.255 4.303 2.352
1.156 -4.120 2.704
5.936 1.701 0.055
Tl Pd Tb
2 2 2
direct
0.000 0.500 0.500 Tl
0.000 0.500 0.000 Tl
0.333 0.167 0.250 Pd
0.667 0.833 0.750 Pd
0.667 0.833 0.250 Tb
0.333 0.167 0.750 Tb
```

Computed properties:
Its volume is 137.00 Å³/cell. The symmetry is P6_3/mmc, No. 194.



*three*
Material: TbTlPd
Method: DFT, GGA-PBE
State: relaxed

```
TbTlPd
1.0
-0.231 -0.398 3.759
1.937 -3.247 -0.225
3.263 4.242 -1.258
Tb Tl Pd
1 1 1
direct
0.938 0.938 0.875 Tb
0.622 0.622 0.245 Tl
0.290 0.290 0.580 Pd
```

Computed properties:
Its volume is 68.86 Å³/cell. The symmetry is I4mm, No. 107.



Relative energies, in eV/atom, with the most stable structure set to zero: *one* 0.061; *two* 0.000; *three* 0.069.



*one*
Material: Tb6Tl2Pd
Method: DFT, GGA-PBE
State: relaxed

```
Tb6Tl2Pd
1.0
-4.101 0.828 -2.974
-2.609 -6.555 1.772
-0.292 5.902 6.470
Tb Tl Pd
6 2 1
direct
0.500 0.231 0.000 Tb
0.843 0.601 0.685 Tb
0.500 0.769 0.000 Tb
0.157 0.916 0.315 Tb
0.157 0.399 0.315 Tb
0.843 0.084 0.685 Tb
0.332 0.332 0.664 Tl
0.668 0.668 0.336 Tl
0.000 0.000 0.000 Pd
```

Computed properties:
Its volume is 281.89 Å³/cell. The symmetry is Immm, No. 71.



*two*
Material: Tb6Tl2Pd
Method: DFT, GGA-PBE
State: relaxed

```
Tb6Tl2Pd
1.0
-2.963 2.350 -0.016
-4.714 -5.912 4.530
4.773 6.046 4.283
Tb Pd Tl
6 1 2
direct
0.500 0.000 0.603 Tb
0.500 0.603 0.000 Tb
0.500 0.397 0.397 Tb
0.000 0.000 0.247 Tb
0.000 0.753 0.753 Tb
0.000 0.248 0.000 Tb
0.500 0.000 0.000 Pd
0.000 0.667 0.333 Tl
0.000 0.333 0.667 Tl
```

Computed properties:
Its volume is 254.40 Å³/cell. The symmetry is P-62m, No. 189.



Relative energies, in eV/atom, with the most stable structure set to zero: *one* 0.191; *two* 0.000.



*one*
Material: Tb2Tm3Pd4
Method: DFT, GGA-PBE
State: relaxed

```
Tb2Tm3Pd4
1.0
-1.852 -6.078 1.910
2.429 1.394 6.793
-6.851 6.085 1.201
Tb Tm Pd
4 6 8
direct
0.405 0.085 0.810 Tb
0.905 0.415 0.810 Tb
0.595 0.915 0.190 Tb
0.095 0.585 0.190 Tb
0.500 0.500 0.000 Tm
0.017 0.750 0.535 Tm
0.483 0.250 0.465 Tm
0.983 0.250 0.465 Tm
0.000 0.000 0.000 Tm
0.517 0.750 0.535 Tm
0.183 0.750 0.865 Pd
0.333 0.463 0.666 Pd
0.833 0.037 0.666 Pd
0.667 0.537 0.334 Pd
0.683 0.750 0.865 Pd
0.317 0.250 0.135 Pd
0.167 0.963 0.334 Pd
0.817 0.250 0.135 Pd
```

Computed properties:
Its volume is 420.50 Å³/cell. The symmetry is Cmce, No. 64.



*two*
Material: Tb2Tm3Pd4
Method: DFT, GGA-PBE
State: relaxed

```
Tb2Tm3Pd4
1.0
-2.869 -3.591 -6.164
4.065 -4.941 4.045
-6.181 -1.849 3.954
Tm Tb Pd
6 4 8
direct
0.750 0.758 0.336 Tm
0.500 0.500 0.000 Tm
0.750 0.242 0.836 Tm
0.250 0.758 0.164 Tm
0.000 0.500 0.500 Tm
0.250 0.242 0.664 Tm
0.582 0.195 0.322 Tb
0.082 0.195 0.178 Tb
0.918 0.805 0.822 Tb
0.418 0.805 0.678 Tb
0.638 0.911 0.038 Pd
0.130 0.502 0.867 Pd
0.362 0.089 0.962 Pd
0.870 0.498 0.133 Pd
0.862 0.089 0.538 Pd
0.138 0.911 0.462 Pd
0.370 0.498 0.367 Pd
0.630 0.502 0.633 Pd
```

Computed properties:
Its volume is 416.68 Å³/cell. The symmetry is P2_1/c, No. 14.



Relative energies, in eV/atom, with the most stable structure set to zero: *one* 0.114; *two* 0.000.



*one*
Material: Tb2TmPd
Method: DFT, GGA-PBE
State: relaxed

```
Tb2TmPd
1.0
3.767 0.001 0.000
-1.882 6.063 0.000
0.000 0.000 9.417
Tb Tm Pd
4 2 2
direct
0.635 0.269 0.440 Tb
0.365 0.731 0.560 Tb
0.365 0.731 0.940 Tb
0.635 0.269 0.060 Tb
0.066 0.131 0.750 Tm
0.934 0.869 0.250 Tm
0.239 0.478 0.250 Pd
0.761 0.522 0.750 Pd
```

Computed properties:
Its volume is 215.07 Å³/cell. The symmetry is Cmcm, No. 63.



*two*
Material: Tb2TmPd
Method: DFT, GGA-PBE
State: relaxed

```
Tb2TmPd
1.0
6.450 0.000 0.000
0.000 6.992 0.000
0.000 0.000 9.702
Tm Tb Pd
4 8 4
direct
0.367 0.474 0.750 Tm
0.633 0.526 0.250 Tm
0.867 0.026 0.250 Tm
0.133 0.974 0.750 Tm
0.323 0.184 0.441 Tb
0.823 0.316 0.941 Tb
0.177 0.684 0.059 Tb
0.177 0.684 0.441 Tb
0.677 0.816 0.941 Tb
0.323 0.184 0.059 Tb
0.823 0.316 0.559 Tb
0.677 0.816 0.559 Tb
0.449 0.892 0.250 Pd
0.051 0.392 0.250 Pd
0.949 0.608 0.750 Pd
0.551 0.108 0.750 Pd
```

Computed properties:
Its volume is 437.54 Å³/cell. The symmetry is Pnma, No. 62.



*three*
Material: Tb2TmPd
Method: DFT, GGA-PBE
State: relaxed

```
Tb2TmPd
1.0
-0.072 -3.236 -1.550
-0.803 -1.496 3.161
-8.100 0.949 -1.608
Tm Tb Pd
1 2 1
direct
0.500 0.500 0.500 Tm
0.000 0.000 0.797 Tb
0.000 0.000 0.203 Tb
0.500 0.500 0.000 Pd
```

Computed properties:
Its volume is 107.04 Å³/cell. The symmetry is P4/mmm, No. 123.



*four*
Material: Tb2TmPd
Method: DFT, GGA-PBE
State: relaxed

```
Tb2TmPd
1.0
3.411 0.000 0.000
1.705 2.954 0.000
1.705 0.985 10.964
Tb Pd Tm
2 1 1
direct
0.920 0.920 0.239 Tb
0.080 0.080 0.761 Tb
0.000 0.000 0.000 Pd
0.500 0.500 0.500 Tm
```

Computed properties:
Its volume is 110.46 Å³/cell. The symmetry is R-3m, No. 166.



Relative energies, in eV/atom, with the most stable structure set to zero: *one* 0.020; *two* 0.000; *three* 0.080; *four* 0.521.